PuIn2CoO6, optimized geometry, DFT GGA+U; VASP energy = -7.2488 eV/atom
1.0
2.782 1.606 4.951
-2.782 1.606 4.951
0.000 -3.212 4.951
Pu In Co O
1 2 1 6
direct
0.000 0.000 0.000
0.289 0.289 0.289
0.790 0.790 0.790
0.500 0.500 0.500
0.107 0.401 0.693
0.208 0.887 0.599
0.401 0.693 0.107
0.599 0.208 0.887
0.693 0.107 0.401
0.887 0.599 0.208